# Sb4PtO7 | OQMD | PBE | relaxed
data_Sb4PtO7
_chemical_formula_sum 'Sb8 Pt2 O14'
_cell_length_a 12.889
_cell_length_b 3.951
_cell_length_c 9.307
_cell_angle_alpha 90.00
_cell_angle_beta 130.93
_cell_angle_gamma 90.00
_space_group_name_H-M_alt 'C 1 2/m 1'
_space_group_IT_number 12
_space_group_name_Hall '-C 2y'
loop_
_atom_site_label
_atom_site_type_symbol
_atom_site_fract_x
_atom_site_fract_y
_atom_site_fract_z
_atom_site_occupancy
Sb1 Sb 0.081 0.000 0.361 1
Sb2 Sb 0.201 0.500 0.808 1
Pt1 Pt 0.000 0.500 0.000 1
O1 O 0.000 0.000 0.000 1
O2 O 0.021 0.500 0.803 1
O3 O 0.107 0.000 0.712 1
O4 O 0.147 0.500 0.555 1
# Energy, eV per atom: -5.6950
# M_tot, μB/f.u.: 0.01